1.
Computed, not measured: CaCu2Pt2 after structural relaxation at the PBE-GGA level of DFT.

Values from the calculation:
Energy of formation from the pure elements ... -38.6 kJ/mol of atoms
DFT total energy ... -4.86 eV per atom
Distance to the lowest polymorph of the same formula ... 0.0 kJ/mol of atoms
SG ... P4/mbm, No. 127

Cell and atoms, written as extended XYZ:
```
10
Lattice="7.437 0.000 0.000 0.000 7.437 0.000 0.000 0.000 2.932" Properties=species:S:1:pos:R:3 pbc="T T T"
Ca 0.000 0.000 0.000
Ca 3.719 3.719 0.000
Cu 0.892 2.826 0.000
Cu 2.826 6.545 0.000
Cu 4.611 0.892 0.000
Cu 6.545 4.611 0.000
Pt 1.299 5.018 1.466
Pt 2.419 1.299 1.466
Pt 5.018 6.138 1.466
Pt 6.138 2.419 1.466
```



2.
Computed, not measured: CaCu2Pt after structural relaxation at the PBE-GGA level of DFT.

Values from the calculation:
Energy of formation from the pure elements ... -16.6 kJ/mol of atoms
DFT total energy ... -4.23 eV per atom
SG ... I-42d, No. 122

Cell and atoms, written as extended XYZ:
```
8
Lattice="-2.169 2.169 8.909 2.169 -2.169 8.909 2.169 2.169 -8.909" Properties=species:S:1:pos:R:3 pbc="T T T"
Ca 0.000 0.000 0.000
Ca 0.000 2.169 4.455
Cu 1.085 -0.371 6.682
Cu 1.798 1.085 2.227
Cu 1.085 2.541 -2.227
Cu 0.371 1.085 11.137
Pt 2.169 0.000 4.455
Pt 0.000 0.000 8.909
```